Entry 1:
! InCo2Os | Alexandria via LeMat-Bulk | GGA-PBE | optimized geometry; values from VASP
! - Formation enthalpy at 0 K: 0.469 eV/atom
! - Space-group type: Immm, No. 71
! - Total moment: 0.9477 μB per atom
! - DFT total energy: -6.576 eV per atom
&SYSTEM
  ibrav = 0, nat = 8, ntyp = 3
/
ATOMIC_SPECIES
In 114.82 In.upf
Co 58.93 Co.upf
Os 190.23 Os.upf
CELL_PARAMETERS angstrom
3.058 0.000 0.000
0.000 4.440 0.000
0.000 0.000 8.546
ATOMIC_POSITIONS angstrom
In 0.000 0.000 0.000
In 1.529 2.220 4.273
Co 0.000 2.220 2.050
Co 0.000 2.220 6.496
Co 1.529 0.000 2.223
Co 1.529 0.000 6.323
Os 0.000 0.000 4.273
Os 1.529 2.220 0.000

Entry 2:
! YNb2Tl2 | Alexandria via LeMat-Bulk | GGA-PBE | optimized geometry; values from VASP
! - Formation enthalpy at 0 K: 0.133 eV/atom
! - Space-group type: I4/mmm, No. 139
! - Total moment: 0.0000 μB per atom
! - Energy above the most stable polymorph in this dataset: 0 meV per atom
! - DFT total energy: -6.134 eV per atom
&SYSTEM
  ibrav = 0, nat = 10, ntyp = 3
/
ATOMIC_SPECIES
Y 88.91 Y.upf
Nb 92.91 Nb.upf
Tl 204.38 Tl.upf
CELL_PARAMETERS angstrom
4.054 0.000 0.000
0.000 4.054 0.000
0.000 0.000 14.235
ATOMIC_POSITIONS angstrom
Y 0.000 0.000 0.000
Y 2.027 2.027 7.118
Nb 0.000 2.027 3.559
Nb 0.000 2.027 10.677
Nb 2.027 0.000 3.559
Nb 2.027 0.000 10.677
Tl 0.000 0.000 5.676
Tl 0.000 0.000 8.559
Tl 2.027 2.027 1.442
Tl 2.027 2.027 12.794